Model one:
{"formula": "SbPb3Cl", "functional": "PBE", "state": "relaxed", "lattice_angstrom": [[6.0064, 0.0000, 0.0000], [0.0000, 6.0064, 0.0000], [0.0000, 0.0000, 6.0064]], "species": ["Sb", "Pb", "Pb", "Pb", "Cl"], "frac_coords": [[0.0000, 0.0000, 0.0000], [0.0000, 0.0000, 0.5000], [0.0000, 0.5000, 0.0000], [0.5000, 0.0000, 0.0000], [0.5000, 0.5000, 0.5000]], "n_ef_per_ev_cell": 3.86}

Model two:
{"formula": "SbPb3Cl", "functional": "PBE", "state": "relaxed", "lattice_angstrom": [[5.5903, 0.0000, 0.0000], [0.0000, 5.5903, 0.0000], [0.0000, 0.0000, 5.5903]], "species": ["Sb", "Pb", "Pb", "Pb", "Cl"], "frac_coords": [[0.0000, 0.0000, 0.0000], [0.0000, 0.5000, 0.5000], [0.5000, 0.0000, 0.5000], [0.5000, 0.5000, 0.0000], [0.5000, 0.5000, 0.5000]], "n_ef_per_ev_cell": 3.28}

Which structure loses on stability? model one does.

Model one:
{"formula": "Sb2Pb4Cl", "functional": "PBE", "state": "relaxed", "lattice_angstrom": [[-4.7775, 4.7775, 4.8303], [4.7775, -4.7775, 4.8303], [4.7775, 4.7775, -4.8303]], "species": ["Sb", "Sb", "Sb", "Sb", "Pb", "Pb", "Pb", "Pb", "Pb", "Pb", "Pb", "Pb", "Cl", "Cl"], "frac_coords": [[0.3750, 0.0096, 0.1346], [0.7596, 0.6250, 0.6346], [0.8750, 0.2404, 0.8654], [0.9904, 0.1250, 0.3654], [0.1167, 0.0266, 0.7454], [0.1213, 0.5311, 0.7546], [0.2811, 0.3713, 0.2546], [0.4689, 0.2234, 0.5901], [0.6287, 0.8833, 0.9099], [0.6333, 0.8787, 0.4099], [0.7766, 0.3667, 0.2454], [0.9734, 0.7189, 0.0901], [0.2500, 0.7500, 0.5000], [0.5000, 0.5000, 0.0000]], "n_ef_per_ev_cell": 7.08}

Model two:
{"formula": "Sb2Pb4Cl", "functional": "PBE", "state": "relaxed", "lattice_angstrom": [[-2.7436, 2.7436, 8.3612], [2.7436, -2.7436, 8.3612], [2.7436, 2.7436, -8.3612]], "species": ["Sb", "Sb", "Pb", "Pb", "Pb", "Pb", "Cl"], "frac_coords": [[0.1192, 0.1192, 0.0000], [0.8808, 0.8808, 0.0000], [0.0000, 0.5000, 0.5000], [0.2969, 0.2969, 0.0000], [0.5000, 0.0000, 0.5000], [0.7031, 0.7031, 0.0000], [0.5000, 0.5000, 0.0000]], "n_ef_per_ev_cell": 4.06}

Which structure loses on stability? model two does.

Model one:
{"formula": "SbTe2PbCl", "functional": "PBE", "state": "relaxed", "lattice_angstrom": [[5.6039, 0.0000, 0.0000], [0.0000, 5.6039, 0.0000], [0.0000, 0.0000, 5.1996]], "species": ["Sb", "Te", "Te", "Pb", "Cl"], "frac_coords": [[0.0000, 0.0000, 0.0000], [0.0000, 0.5000, 0.5000], [0.5000, 0.0000, 0.5000], [0.5000, 0.5000, 0.0000], [0.0000, 0.0000, 0.5000]], "n_ef_per_ev_cell": 4.88}

Model two:
{"formula": "SbTe2PbCl", "functional": "PBE", "state": "relaxed", "lattice_angstrom": [[5.8154, 0.0000, 0.0000], [0.0000, 5.8154, 0.0000], [0.0000, 0.0000, 6.0174]], "species": ["Sb", "Te", "Te", "Pb", "Cl"], "frac_coords": [[0.0000, 0.0000, 0.0000], [0.0000, 0.5000, 0.5000], [0.5000, 0.0000, 0.5000], [0.0000, 0.0000, 0.5000], [0.5000, 0.5000, 0.0000]], "n_ef_per_ev_cell": 7.52}

Which structure loses on stability? model two does.

Model one:
{"formula": "ScPbCl2", "functional": "PBE", "state": "relaxed", "lattice_angstrom": [[1.7834, 1.0297, 9.9498], [-1.7834, 1.0297, 9.9498], [0.0000, -2.0593, 9.9498]], "species": ["Sc", "Pb", "Cl", "Cl"], "frac_coords": [[0.0000, 0.0000, 0.0000], [0.5000, 0.5000, 0.5000], [0.0800, 0.0800, 0.0800], [0.9200, 0.9200, 0.9200]], "n_ef_per_ev_cell": 2.61}

Model two:
{"formula": "ScPbCl2", "functional": "PBE", "state": "relaxed", "lattice_angstrom": [[3.3098, -4.7902, 0.0000], [3.3098, 4.7902, 0.0000], [-1.8797, 0.0000, 3.0396]], "species": ["Sc", "Pb", "Cl", "Cl"], "frac_coords": [[0.0000, 0.0000, 0.0000], [0.5000, 0.5000, 0.0000], [0.0000, 0.5000, 0.0000], [0.5000, 0.0000, 0.0000]], "n_ef_per_ev_cell": 1.91}

Which structure loses on stability? model two does.

Model one:
{"formula": "ScPbCl2", "functional": "PBE", "state": "relaxed", "lattice_angstrom": [[1.8553, -3.1180, 0.0000], [1.8553, 3.1180, 0.0000], [0.0000, 0.0000, 9.5474]], "species": ["Sc", "Pb", "Cl", "Cl"], "frac_coords": [[0.0000, 0.0000, 0.0000], [0.5000, 0.5000, 0.7350], [0.0000, 0.0000, 0.5148], [0.5000, 0.5000, 0.1720]], "n_ef_per_ev_cell": 3.58}

Model two:
{"formula": "ScPbCl2", "functional": "PBE", "state": "relaxed", "lattice_angstrom": [[1.7214, -3.0725, 0.0000], [1.7214, 3.0725, 0.0000], [0.0000, 0.0000, 11.7186]], "species": ["Sc", "Pb", "Cl", "Cl"], "frac_coords": [[0.0000, 0.0000, 0.0000], [0.0000, 0.0000, 0.5000], [0.5000, 0.5000, 0.1549], [0.5000, 0.5000, 0.8451]], "n_ef_per_ev_cell": 2.77}

Which structure loses on stability? model one does.

Model one:
{"formula": "ScPbCl2", "functional": "PBE", "state": "relaxed", "lattice_angstrom": [[0.0000, 3.6850, 3.6850], [3.6850, 0.0000, 3.6850], [3.6850, 3.6850, 0.0000]], "species": ["Sc", "Pb", "Cl", "Cl"], "frac_coords": [[0.0000, 0.0000, 0.0000], [0.2500, 0.2500, 0.2500], [0.5000, 0.5000, 0.5000], [0.7500, 0.7500, 0.7500]], "n_ef_per_ev_cell": 3.59}

Model two:
{"formula": "ScPbCl2", "functional": "PBE", "state": "relaxed", "lattice_angstrom": [[3.1961, 0.0000, 0.0000], [0.0000, 3.1961, 0.0000], [0.0000, 0.0000, 11.4972]], "species": ["Sc", "Pb", "Cl", "Cl"], "frac_coords": [[0.0000, 0.0000, 0.0000], [0.0000, 0.0000, 0.5000], [0.5000, 0.5000, 0.1327], [0.5000, 0.5000, 0.8673]], "n_ef_per_ev_cell": 2.53}

Which structure loses on stability? model one does.

Model one:
{"formula": "ScPbCl2", "functional": "PBE", "state": "relaxed", "lattice_angstrom": [[3.5613, 0.0000, 0.0000], [0.0000, 5.0293, 0.0000], [-1.7724, 0.0000, 5.5890]], "species": ["Sc", "Pb", "Cl", "Cl"], "frac_coords": [[0.0000, 0.0000, 0.0000], [0.3705, 0.5000, 0.7384], [0.0862, 0.5000, 0.1718], [0.6588, 0.0000, 0.3186]], "n_ef_per_ev_cell": 1.36}

Model two:
{"formula": "ScPbCl2", "functional": "PBE", "state": "relaxed", "lattice_angstrom": [[-1.6516, 3.0670, 5.0777], [1.6516, -3.0670, 5.0777], [1.6516, 3.0670, -5.0777]], "species": ["Sc", "Pb", "Cl", "Cl"], "frac_coords": [[0.0000, 0.0000, 0.0000], [0.5000, 0.5000, 0.0000], [0.1912, 0.6912, 0.5000], [0.8088, 0.3088, 0.5000]], "n_ef_per_ev_cell": 2.59}

Model three:
{"formula": "ScPbCl2", "functional": "PBE", "state": "relaxed", "lattice_angstrom": [[4.5481, 0.0000, 0.0000], [0.0000, 4.5481, 0.0000], [0.0000, 0.0000, 4.5731]], "species": ["Sc", "Pb", "Cl", "Cl"], "frac_coords": [[0.0000, 0.0000, 0.0000], [0.5000, 0.5000, 0.0000], [0.0000, 0.5000, 0.5000], [0.5000, 0.0000, 0.5000]], "n_ef_per_ev_cell": 2.33}

Model four:
{"formula": "ScPbCl2", "functional": "PBE", "state": "relaxed", "lattice_angstrom": [[3.2085, -4.4819, 0.0000], [3.2085, 4.4819, 0.0000], [0.0000, 0.0000, 3.3305]], "species": ["Sc", "Pb", "Cl", "Cl"], "frac_coords": [[0.0000, 0.0000, 0.0000], [0.5000, 0.5000, 0.0000], [0.0000, 0.5000, 0.5000], [0.5000, 0.0000, 0.5000]], "n_ef_per_ev_cell": 1.63}

Which structure loses on stability? model four does.

Model one:
{"formula": "ScPbCl2", "functional": "PBE", "state": "relaxed", "lattice_angstrom": [[-2.2744, 2.2744, 4.5339], [2.2744, -2.2744, 4.5339], [2.2744, 2.2744, -4.5339]], "species": ["Sc", "Pb", "Cl", "Cl"], "frac_coords": [[0.0000, 0.0000, 0.0000], [0.5000, 0.5000, 0.0000], [0.2500, 0.7500, 0.5000], [0.7500, 0.2500, 0.5000]], "n_ef_per_ev_cell": 2.03}

Model two:
{"formula": "ScPbCl2", "functional": "PBE", "state": "relaxed", "lattice_angstrom": [[5.6385, -1.7315, 0.0000], [5.6385, 1.7315, 0.0000], [-2.5183, 0.0000, 5.3156]], "species": ["Sc", "Pb", "Cl", "Cl"], "frac_coords": [[0.0000, 0.0000, 0.0000], [0.7252, 0.7252, 0.4614], [0.3609, 0.3609, 0.0941], [0.5557, 0.5557, 0.7408]], "n_ef_per_ev_cell": 2.88}

Model three:
{"formula": "ScPbCl2", "functional": "PBE", "state": "relaxed", "lattice_angstrom": [[4.6998, 0.0000, 0.0000], [0.0000, 3.4122, 0.0000], [-0.0468, 0.0000, 5.8947]], "species": ["Sc", "Pb", "Cl", "Cl"], "frac_coords": [[0.0000, 0.0000, 0.0000], [0.0000, 0.5000, 0.5000], [0.5000, 0.0000, 0.5000], [0.5000, 0.5000, 0.0000]], "n_ef_per_ev_cell": 1.75}

Model four:
{"formula": "ScPbCl2", "functional": "PBE", "state": "relaxed", "lattice_angstrom": [[3.7297, 0.0000, 0.0000], [0.0000, 4.5758, 0.0000], [-0.2900, 0.0000, 5.6886]], "species": ["Sc", "Pb", "Cl", "Cl"], "frac_coords": [[0.0000, 0.0000, 0.0000], [0.5000, 0.0000, 0.5000], [0.1719, 0.5000, 0.7730], [0.8281, 0.5000, 0.2270]], "n_ef_per_ev_cell": 2.23}

Which structure loses on stability? model one does.

Model one:
{"formula": "ScPbCl2", "functional": "PBE", "state": "relaxed", "lattice_angstrom": [[-2.0612, 2.0612, 5.7097], [2.0612, -2.0612, 5.7097], [2.0612, 2.0612, -5.7097]], "species": ["Sc", "Pb", "Cl", "Cl"], "frac_coords": [[0.0000, 0.0000, 0.0000], [0.7500, 0.2500, 0.5000], [0.2500, 0.7500, 0.5000], [0.5000, 0.5000, 0.0000]], "n_ef_per_ev_cell": 2.18}

Model two:
{"formula": "ScPbCl2", "functional": "PBE", "state": "relaxed", "lattice_angstrom": [[-3.3509, 3.3509, 6.0310], [3.3509, -3.3509, 6.0310], [3.3509, 3.3509, -6.0310]], "species": ["Sc", "Sc", "Pb", "Pb", "Cl", "Cl", "Cl", "Cl"], "frac_coords": [[0.0000, 0.0000, 0.0000], [0.7500, 0.2500, 0.5000], [0.2500, 0.7500, 0.5000], [0.5000, 0.5000, 0.0000], [0.0087, 0.6250, 0.8837], [0.3750, 0.2587, 0.3837], [0.7413, 0.1250, 0.1163], [0.8750, 0.9913, 0.6163]], "n_ef_per_ev_cell": 12.59}

Model three:
{"formula": "ScPbCl2", "functional": "PBE", "state": "relaxed", "lattice_angstrom": [[0.0000, 3.5798, 3.5798], [3.5798, 0.0000, 3.5798], [3.5798, 3.5798, 0.0000]], "species": ["Sc", "Pb", "Cl", "Cl"], "frac_coords": [[0.0000, 0.0000, 0.0000], [0.5000, 0.5000, 0.5000], [0.2500, 0.2500, 0.2500], [0.7500, 0.7500, 0.7500]], "n_ef_per_ev_cell": 3.20}

Model four:
{"formula": "ScPbCl2", "functional": "PBE", "state": "relaxed", "lattice_angstrom": [[1.7358, 1.0022, 10.8824], [-1.7358, 1.0022, 10.8824], [0.0000, -2.0044, 10.8824]], "species": ["Sc", "Pb", "Cl", "Cl"], "frac_coords": [[0.0000, 0.0000, 0.0000], [0.5000, 0.5000, 0.5000], [0.2844, 0.2844, 0.2844], [0.7156, 0.7156, 0.7156]], "n_ef_per_ev_cell": 3.01}

Which structure loses on stability? model three does.

Model one:
{"formula": "ScPbCl2", "functional": "PBE", "state": "relaxed", "lattice_angstrom": [[-1.6519, 1.6583, 11.1914], [1.6519, -1.6583, 11.1914], [1.6519, 1.6583, -11.1914]], "species": ["Sc", "Pb", "Cl", "Cl"], "frac_coords": [[0.0000, 0.0000, 0.0000], [0.7413, 0.2413, 0.5000], [0.4183, 0.9183, 0.5000], [0.5576, 0.5576, 0.0000]], "n_ef_per_ev_cell": 2.47}

Model two:
{"formula": "ScPbCl2", "functional": "PBE", "state": "relaxed", "lattice_angstrom": [[3.6657, 0.0000, 0.0000], [0.0000, 3.6657, 0.0000], [0.0000, 0.0000, 7.1626]], "species": ["Sc", "Pb", "Cl", "Cl"], "frac_coords": [[0.0000, 0.0000, 0.0000], [0.5000, 0.5000, 0.6644], [0.0000, 0.0000, 0.3496], [0.5000, 0.5000, 0.0765]], "n_ef_per_ev_cell": 1.69}

Which structure loses on stability? model two does.

Model one:
{"formula": "ScPb2Cl", "functional": "PBE", "state": "relaxed", "lattice_angstrom": [[1.7851, -3.0059, 0.0000], [1.7851, 3.0059, 0.0000], [0.0000, 0.0000, 10.7234]], "species": ["Sc", "Pb", "Pb", "Cl"], "frac_coords": [[0.0000, 0.0000, 0.0000], [0.0000, 0.0000, 0.5051], [0.5000, 0.5000, 0.7676], [0.5000, 0.5000, 0.1669]], "n_ef_per_ev_cell": 2.20}

Model two:
{"formula": "ScPb2Cl", "functional": "PBE", "state": "relaxed", "lattice_angstrom": [[3.4246, 0.0000, 0.0000], [0.0000, 5.4589, 0.0000], [0.0000, 0.0000, 5.6483]], "species": ["Sc", "Pb", "Pb", "Cl"], "frac_coords": [[0.0000, 0.0000, 0.0000], [0.0000, 0.5000, 0.5000], [0.5000, 0.5000, 0.0000], [0.5000, 0.0000, 0.5000]], "n_ef_per_ev_cell": 2.72}

Model three:
{"formula": "ScPb2Cl", "functional": "PBE", "state": "relaxed", "lattice_angstrom": [[-1.6527, 2.2184, 7.4728], [1.6527, -2.2184, 7.4728], [1.6527, 2.2184, -7.4728]], "species": ["Sc", "Pb", "Pb", "Cl"], "frac_coords": [[0.0000, 0.0000, 0.0000], [0.1913, 0.6913, 0.5000], [0.8087, 0.3087, 0.5000], [0.5000, 0.5000, 0.0000]], "n_ef_per_ev_cell": 2.73}

Which structure loses on stability? model two does.